The following is a DFT calculation (PBE-GGA) of MgPbNO2 after structural relaxation.

Cell lengths 4.295, 4.295, 4.311 Å; angles 90.00, 90.00, 90.00 degrees
Fractional positions:
N1 0.000 0.000 0.500
O1 0.000 0.500 0.000
O2 0.500 0.000 0.000
Mg1 0.500 0.500 0.500
Pb1 0.000 0.000 0.000

Summary:
Magnetization (μB per atom): 0.197
Total energy (eV per atom): -4.573
Symmetry: P4/mmm, No. 123
Crystal system: tetragonal